(1)
Material: NaMgCdIn
Method: DFT, GGA-PBE
State: optimized geometry

Cell lengths 3.322, 3.322, 8.901 Å; angles 90.00, 90.00, 90.00 degrees
Positions (direct):
Na  0.000  0.000  0.075
In  0.500  0.500  0.800
Mg  0.000  0.000  0.568
Cd  0.500  0.500  0.342

- magnetic moment (μB/f.u.) = 0.0
- energy relative to the lowest polymorph listed for this composition (meV/atom) = 0
- space-group type = No. 99
- formation enthalpy at 0 K (meV per atom) = -110
- DFT total energy (eV/atom) = -1.7522

=====

(2)
Material: PmAl6Pd
Method: DFT, GGA-PBE
State: optimized geometry

Cell lengths 4.275, 4.275, 8.437 Å; angles 90.00, 90.00, 90.00 degrees
Positions (direct):
Pd  0.000  0.000  0.500
Al  0.000  0.500  0.668
Al  0.000  0.500  0.332
Al  0.500  0.500  0.147
Al  0.500  0.500  0.853
Al  0.500  0.000  0.668
Al  0.500  0.000  0.332
Pm  0.000  0.000  0.000

- magnetic moment (μB/f.u.) = 0.0
- space-group type = No. 123
- formation enthalpy at 0 K (meV per atom) = -466
- DFT total energy (eV/atom) = -4.5156